# In2PdPb

An optimized crystal structure of In2PdPb (PBE, Alexandria).

Output
Crystal system: tetragonal
ΔH_f (0 K) (meV/atom): 0
E (eV/atom): -3.595
D(E_F) (states/eV/f.u.): 2.0
SG: No. 122
Theoretical density (Mg/m³): 8.8

a b c (Å): 10.157 10.157 10.157
angles (deg): 153.76 153.76 37.46
Fractional positions:
In  0.075  0.625  0.950
In  0.375  0.325  0.450
In  0.675  0.125  0.050
In  0.875  0.925  0.550
Pd  0.000  0.000  0.000
Pd  0.750  0.250  0.500
Pb  0.250  0.750  0.500
Pb  0.500  0.500  0.000



# InPd14Pb

An optimized crystal structure of InPd14Pb (PBE, Alexandria).

Output
Crystal system: tetragonal
ΔH_f (0 K) (meV/atom): -167
E (eV/atom): -5.114
D(E_F) (states/eV/f.u.): 29.3
SG: No. 123
Theoretical density (Mg/m³): 11.7

a b c (Å): 5.757 5.757 7.781
angles (deg): 90.00 90.00 90.00
Fractional positions:
In  0.000  0.000  0.000
Pd  0.000  0.000  0.500
Pd  0.000  0.500  0.000
Pd  0.000  0.500  0.500
Pd  0.248  0.248  0.254
Pd  0.248  0.248  0.746
Pd  0.248  0.752  0.254
Pd  0.248  0.752  0.746
Pd  0.500  0.000  0.000
Pd  0.500  0.000  0.500
Pd  0.500  0.500  0.500
Pd  0.752  0.248  0.254
Pd  0.752  0.248  0.746
Pd  0.752  0.752  0.254
Pd  0.752  0.752  0.746
Pb  0.500  0.500  0.000



# InPd2Pb

An optimized crystal structure of InPd2Pb (PBE, Alexandria).

Output
Crystal system: tetragonal
ΔH_f (0 K) (meV/atom): -88
E (eV/atom): -4.296
D(E_F) (states/eV/f.u.): 1.9
SG: No. 122
Theoretical density (Mg/m³): 10.3

a b c (Å): 6.132 6.132 6.132
angles (deg): 104.15 104.15 120.73
Fractional positions:
In  0.000  0.000  0.000
In  0.750  0.250  0.500
Pd  0.110  0.125  0.485
Pd  0.375  0.890  0.015
Pd  0.640  0.625  0.515
Pd  0.875  0.360  0.985
Pb  0.250  0.750  0.500
Pb  0.500  0.500  0.000



# InPd3Pb

An optimized crystal structure of InPd3Pb (PBE, Alexandria).

Output
Crystal system: orthorhombic
ΔE to the lowest computed polymorph (eV per atom): 0.000
ΔH_f (0 K) (meV/atom): -349
E (eV/atom): -4.754
D(E_F) (states/eV/f.u.): 1.9
SG: No. 59
Theoretical density (Mg/m³): 11.0

a b c (Å): 4.365 5.764 7.720
angles (deg): 90.00 90.00 90.00
Fractional positions:
In  0.250  0.250  0.062
In  0.750  0.750  0.938
Pd  0.250  0.250  0.415
Pd  0.250  0.510  0.766
Pd  0.250  0.990  0.766
Pd  0.750  0.010  0.234
Pd  0.750  0.490  0.234
Pd  0.750  0.750  0.585
Pb  0.250  0.750  0.362
Pb  0.750  0.250  0.638



Copy entry 2 word for word.
# InPd14Pb

An optimized crystal structure of InPd14Pb (PBE, Alexandria).

Output
Crystal system: tetragonal
ΔH_f (0 K) (meV/atom): -167
E (eV/atom): -5.114
D(E_F) (states/eV/f.u.): 29.3
SG: No. 123
Theoretical density (Mg/m³): 11.7

a b c (Å): 5.757 5.757 7.781
angles (deg): 90.00 90.00 90.00
Fractional positions:
In  0.000  0.000  0.000
Pd  0.000  0.000  0.500
Pd  0.000  0.500  0.000
Pd  0.000  0.500  0.500
Pd  0.248  0.248  0.254
Pd  0.248  0.248  0.746
Pd  0.248  0.752  0.254
Pd  0.248  0.752  0.746
Pd  0.500  0.000  0.000
Pd  0.500  0.000  0.500
Pd  0.500  0.500  0.500
Pd  0.752  0.248  0.254
Pd  0.752  0.248  0.746
Pd  0.752  0.752  0.254
Pd  0.752  0.752  0.746
Pb  0.500  0.500  0.000



Please write out number 1 again, unchanged.
# In2PdPb

An optimized crystal structure of In2PdPb (PBE, Alexandria).

Output
Crystal system: tetragonal
ΔH_f (0 K) (meV/atom): 0
E (eV/atom): -3.595
D(E_F) (states/eV/f.u.): 2.0
SG: No. 122
Theoretical density (Mg/m³): 8.8

a b c (Å): 10.157 10.157 10.157
angles (deg): 153.76 153.76 37.46
Fractional positions:
In  0.075  0.625  0.950
In  0.375  0.325  0.450
In  0.675  0.125  0.050
In  0.875  0.925  0.550
Pd  0.000  0.000  0.000
Pd  0.750  0.250  0.500
Pb  0.250  0.750  0.500
Pb  0.500  0.500  0.000